<1>
Below is a relaxed YSc2Co crystal, with properties calculated at the PBE level.

```
4
Lattice="3.722 0.000 0.000 0.000 4.673 0.000 0.000 0.000 4.854" Properties=species:S:1:pos:R:3 pbc="T T T"
Co 0.000 2.336 2.427
Sc 0.000 0.000 0.000
Sc 1.861 2.336 0.000
Y 1.861 0.000 2.427
```

## Properties
Size of the total moment, μB per cell: 0.16
Space-group type: Pmmm, No. 47
V, Å³ per cell: 84.4

=====

<2>
Below is a relaxed YSc2Co crystal, with properties calculated at the PBE level.

```
4
Lattice="-2.448 7.687 -4.322 -1.476 5.697 -7.009 -4.691 5.408 -5.702" Properties=species:S:1:pos:R:3 pbc="T T T"
Co -6.419 14.001 -12.690
Sc -0.194 0.423 -0.384
Sc -2.190 4.776 -4.329
Y -4.121 8.988 -8.146
```

## Properties
Size of the total moment, μB per cell: 0.69
Space-group type: R3m, No. 160
V, Å³ per cell: 93.7

=====

Which one sits at the top of the stability order? <2> does.

=====

<1>
Below is a relaxed YSc2Co crystal, with properties calculated at the PBE level.

```
4
Lattice="-5.306 -3.107 6.681 -6.423 -5.039 3.976 -3.579 -6.022 5.777" Properties=species:S:1:pos:R:3 pbc="T T T"
Co -11.481 -10.626 12.325
Sc -0.426 -0.395 0.458
Sc -7.228 -6.690 7.759
Y -3.827 -3.542 4.108
```

## Properties
Size of the total moment, μB per cell: 0.00
Space-group type: R-3m, No. 166
V, Å³ per cell: 94.3

=====

<2>
Below is a relaxed YSc2Co crystal, with properties calculated at the PBE level.

```
4
Lattice="5.832 0.028 0.000 2.933 5.041 0.000 -4.382 -2.535 2.895" Properties=species:S:1:pos:R:3 pbc="T T T"
Co 2.916 0.014 1.448
Sc 0.000 0.000 0.000
Sc 4.382 2.535 0.000
Y 1.466 2.521 1.448
```

## Properties
Size of the total moment, μB per cell: 1.24
Space-group type: I4/mmm, No. 139
V, Å³ per cell: 84.9

=====

<3>
Below is a relaxed YSc2Co crystal, with properties calculated at the PBE level.

```
4
Lattice="3.297 0.011 0.000 -0.010 3.297 0.000 0.000 0.000 8.134" Properties=species:S:1:pos:R:3 pbc="T T T"
Co 1.643 1.654 6.274
Sc 0.000 0.000 7.660
Sc 1.643 1.654 1.881
Y 0.000 0.000 4.522
```

## Properties
Size of the total moment, μB per cell: 1.67
Space-group type: P4mm, No. 99
V, Å³ per cell: 88.4

=====

<4>
Below is a relaxed YSc2Co crystal, with properties calculated at the PBE level.

```
4
Lattice="-0.361 3.142 0.549 -0.898 -0.633 3.029 7.096 -0.145 5.496" Properties=species:S:1:pos:R:3 pbc="T T T"
Y 1.369 1.376 2.406
Sc 6.525 -0.181 5.323
Sc 3.671 -0.353 4.435
Co 4.468 0.988 6.668
```

## Properties
Size of the total moment, μB per cell: 0.38
Space-group type: Pmmm, No. 47
V, Å³ per cell: 86.7

=====

Which one sits at the top of the stability order? <4> does.

=====

<1>
Below is a relaxed Y2Sc2Co crystal, with properties calculated at the PBE level.

```
10
Lattice="-5.112 3.140 -2.817 -1.379 -6.097 2.200 2.162 4.088 5.918" Properties=species:S:1:pos:R:3 pbc="T T T"
Y -0.253 -2.383 2.677
Y -4.077 3.513 2.625
Y -2.322 2.739 -0.105
Y -2.008 -1.609 5.407
Sc -4.169 0.007 3.114
Sc -2.182 1.763 4.868
Sc -2.148 -0.633 0.433
Sc -0.161 1.123 2.187
Co -4.709 2.143 -2.276
Co -1.782 -5.101 1.659
```

## Properties
Size of the total moment, μB per cell: 0.00
Space-group type: C2/m, No. 12
V, Å³ per cell: 249.8

=====

<2>
Below is a relaxed Y2Sc2Co crystal, with properties calculated at the PBE level.

```
10
Lattice="-5.847 2.330 2.131 -0.166 -4.705 4.690 2.600 3.358 3.460" Properties=species:S:1:pos:R:3 pbc="T T T"
Y 0.191 -1.078 5.239
Y -2.759 -0.660 7.049
Y -3.604 2.062 5.042
Y -0.654 1.644 3.232
Sc -2.122 -3.157 4.658
Sc -5.015 -1.154 4.888
Sc -3.891 0.783 2.163
Sc -0.997 -1.220 1.933
Co 0.000 0.000 0.000
Co -3.006 -1.187 3.411
```

## Properties
Size of the total moment, μB per cell: 0.91
Space-group type: P4/mbm, No. 127
V, Å³ per cell: 241.9

=====

Which one sits at the top of the stability order? <1> does.